(1)
An optimized crystal structure of AlTlCdH6, computed with PBE.

Geometry as CIF:
```
data_AlTlCdH6
_cell_length_a 7.263
_cell_length_b 7.263
_cell_length_c 7.263
_cell_angle_alpha 90.00
_cell_angle_beta 90.00
_cell_angle_gamma 90.00
_space_group_name_H-M_alt 'F -4 3 m'
_space_group_IT_number 216
_space_group_name_Hall 'F -4 2 3'
loop_
_atom_site_label
_atom_site_fract_x
_atom_site_fract_y
_atom_site_fract_z
_atom_site_occupancy
Al1 0.000 0.000 0.000 1
Tl1 0.250 0.250 0.750 1
Cd1 0.250 0.250 0.250 1
H1 0.000 0.000 0.243 1
```

(2)
# AlCdH6W | the Open Quantum Materials Database | PBE | optimized geometry
data_AlCdH6W
_cell_length_a 6.782
_cell_length_b 6.782
_cell_length_c 6.782
_cell_angle_alpha 90.00
_cell_angle_beta 90.00
_cell_angle_gamma 90.00
_space_group_name_H-M_alt 'F -4 3 m'
_space_group_IT_number 216
_space_group_name_Hall 'F -4 2 3'
loop_
_atom_site_label
_atom_site_fract_x
_atom_site_fract_y
_atom_site_fract_z
_atom_site_occupancy
Al1 0.000 0.000 0.000 1
Cd1 0.000 0.000 0.500 1
H1 0.014 0.250 0.250 1
W1 0.250 0.250 0.750 1
# **Magnetic moment**: 0.002 μB per atom

(3)
An optimized crystal structure of AlZnCdH6, computed with PBE.

Geometry as CIF:
```
data_AlZnCdH6
_cell_length_a 6.814
_cell_length_b 6.814
_cell_length_c 6.814
_cell_angle_alpha 90.00
_cell_angle_beta 90.00
_cell_angle_gamma 90.00
_space_group_name_H-M_alt 'F -4 3 m'
_space_group_IT_number 216
_space_group_name_Hall 'F -4 2 3'
loop_
_atom_site_label
_atom_site_fract_x
_atom_site_fract_y
_atom_site_fract_z
_atom_site_occupancy
Al1 0.000 0.000 0.000 1
Zn1 0.250 0.250 0.250 1
Cd1 0.250 0.250 0.750 1
H1 0.000 0.000 0.256 1
```

(4)
# Hf2AlCd | the Open Quantum Materials Database | PBE | optimized geometry
data_Hf2AlCd
_cell_length_a 6.874
_cell_length_b 6.874
_cell_length_c 6.874
_cell_angle_alpha 90.00
_cell_angle_beta 90.00
_cell_angle_gamma 90.00
_space_group_name_H-M_alt 'F -4 3 m'
_space_group_IT_number 216
_space_group_name_Hall 'F -4 2 3'
loop_
_atom_site_label
_atom_site_fract_x
_atom_site_fract_y
_atom_site_fract_z
_atom_site_occupancy
Hf1 0.000 0.000 0.000 1
Hf2 0.250 0.250 0.250 1
Al1 0.000 0.000 0.500 1
Cd1 0.250 0.250 0.750 1
# **Magnetic moment**: 0.497 μB per atom

(5)
# Hf3Al2Cd2 | the Open Quantum Materials Database | PBE | optimized geometry
data_Hf3Al2Cd2
_cell_length_a 4.7735
_cell_length_b 4.7735
_cell_length_c 21.6847
_cell_angle_alpha 90.00
_cell_angle_beta 90.00
_cell_angle_gamma 120.00
_space_group_name_H-M_alt 'R 3 m'
_space_group_IT_number 160
_space_group_name_Hall 'R 3 -2"'
loop_
_atom_site_label
_atom_site_fract_x
_atom_site_fract_y
_atom_site_fract_z
_atom_site_occupancy
Hf1 0.0000 0.0000 0.0000 1
Hf2 0.0000 0.0000 0.2775 1
Hf3 0.0000 0.0000 0.5616 1
Al1 0.0000 0.0000 0.1410 1
Al2 0.0000 0.0000 0.6901 1
Cd1 0.0000 0.0000 0.4183 1
Cd2 0.0000 0.0000 0.8520 1
# **Magnetic moment**: 0.002 μB per atom

(6)
# HfAlCdNi | the Open Quantum Materials Database | PBE | optimized geometry
data_HfAlCdNi
_cell_length_a 6.475
_cell_length_b 6.475
_cell_length_c 6.475
_cell_angle_alpha 90.00
_cell_angle_beta 90.00
_cell_angle_gamma 90.00
_space_group_name_H-M_alt 'F -4 3 m'
_space_group_IT_number 216
_space_group_name_Hall 'F -4 2 3'
loop_
_atom_site_label
_atom_site_fract_x
_atom_site_fract_y
_atom_site_fract_z
_atom_site_occupancy
Hf1 0.000 0.000 0.000 1
Al1 0.250 0.250 0.250 1
Cd1 0.250 0.250 0.750 1
Ni1 0.000 0.000 0.500 1
# **Magnetic moment**: 0.039 μB per atom

(7)
An optimized crystal structure of AlCd2Hg, computed with PBE.

Geometry as CIF:
```
data_AlCd2Hg
_cell_length_a 7.051
_cell_length_b 7.051
_cell_length_c 7.051
_cell_angle_alpha 90.00
_cell_angle_beta 90.00
_cell_angle_gamma 90.00
_space_group_name_H-M_alt 'F -4 3 m'
_space_group_IT_number 216
_space_group_name_Hall 'F -4 2 3'
loop_
_atom_site_label
_atom_site_fract_x
_atom_site_fract_y
_atom_site_fract_z
_atom_site_occupancy
Al1 0.000 0.000 0.000 1
Cd1 0.000 0.000 0.500 1
Cd2 0.250 0.250 0.750 1
Hg1 0.250 0.250 0.250 1
```

(8)
An optimized crystal structure of AlCdHg2, computed with PBE.

Geometry as CIF:
```
data_AlCdHg2
_cell_length_a 7.190
_cell_length_b 7.190
_cell_length_c 7.190
_cell_angle_alpha 90.00
_cell_angle_beta 90.00
_cell_angle_gamma 90.00
_space_group_name_H-M_alt 'F -4 3 m'
_space_group_IT_number 216
_space_group_name_Hall 'F -4 2 3'
loop_
_atom_site_label
_atom_site_fract_x
_atom_site_fract_y
_atom_site_fract_z
_atom_site_occupancy
Al1 0.000 0.000 0.000 1
Cd1 0.250 0.250 0.250 1
Hg1 0.000 0.000 0.500 1
Hg2 0.250 0.250 0.750 1
```

| no. | final energy (eV per atom) |
| --- | --- |
| 1 | -2.63 |
| 2 | -3.94 |
| 3 | -2.42 |
| 4 | -5.86 |
| 5 | -5.52 |
| 6 | -5.05 |
| 7 | -1.30 |
| 8 | -1.12 |